Computed, not measured: a PBEsol-optimized structure of MgHg2Pb at the meta-GGA SCAN level of DFT.

a = 3.5382 Å, b = 5.4101 Å, c = 10.0168 Å
α = 90.00°, β = 90.00°, γ = 90.00°
Closest atoms and distances in Å follow each position.
Atoms (fractional coordinates):
Mg 0.0000 0.0000 0.0000  4 Hg 2.91, 4 Pb 3.23
Mg 0.5000 0.5000 0.5000  4 Hg 2.91, 4 Pb 3.23
Hg 0.0000 0.5000 0.2697  2 Mg 2.91, 2 Pb 3.23
Hg 0.0000 0.5000 0.7303  2 Mg 2.91, 2 Pb 3.23
Hg 0.5000 0.0000 0.2303  2 Mg 2.91, 2 Pb 3.23
Hg 0.5000 0.0000 0.7697  2 Mg 2.91, 2 Pb 3.23
Pb 0.0000 0.0000 0.5000  8 Hg 3.23-3.55, 4 Mg 3.23, 2 Pb 3.54
Pb 0.5000 0.5000 0.0000  8 Hg 3.23-3.55, 4 Mg 3.23, 2 Pb 3.54

ΔH_f (0 K) in eV/atom: -0.100
Energy in eV per atom: -54.372
Total magnetization in μB per cell: 0.0
Symmetry: Immm (71)


Computed, not measured: a PBEsol-optimized structure of Cs3Y7Se12 at the meta-GGA SCAN level of DFT.

a = 4.1109 Å, b = 12.6492 Å, c = 26.0221 Å
α = 90.00°, β = 90.00°, γ = 90.00°
Closest atoms and distances in Å follow each position.
Atoms (fractional coordinates):
Cs 0.0000 0.0244 0.0000  7 Se 3.60-3.70
Cs 0.0000 0.2999 0.3486  5 Se 3.45-3.67
Cs 0.0000 0.4695 0.7383  7 Se 3.47-3.74
Cs 0.5000 0.5305 0.2383  7 Se 3.47-3.74
Cs 0.5000 0.7001 0.8486  5 Se 3.45-3.67
Cs 0.5000 0.9756 0.5000  7 Se 3.60-3.70
Y 0.0000 0.1645 0.6606  6 Se 2.78-2.92
Y 0.0000 0.2554 0.8720  6 Se 2.81-2.87
Y 0.0000 0.3334 0.0848  6 Se 2.78-2.94
Y 0.0000 0.5359 0.4593  6 Se 2.81-2.95
Y 0.0000 0.6649 0.0567  6 Se 2.78-2.98
Y 0.0000 0.8385 0.6889  6 Se 2.78-2.95
Y 0.0000 0.9596 0.2885  6 Se 2.77-2.98
Y 0.5000 0.0404 0.7885  6 Se 2.77-2.98
Y 0.5000 0.1615 0.1889  6 Se 2.78-2.95
Y 0.5000 0.3351 0.5567  6 Se 2.78-2.98
Y 0.5000 0.4641 0.9593  6 Se 2.81-2.95
Y 0.5000 0.6666 0.5848  6 Se 2.78-2.94
Y 0.5000 0.7446 0.3720  6 Se 2.81-2.87
Y 0.5000 0.8355 0.1606  6 Se 2.78-2.92
Se 0.0000 0.1853 0.5527  3 Y 2.80-2.82
Se 0.0000 0.1904 0.7686  4 Y 2.81-2.84
Se 0.0000 0.3130 0.1946  3 Y 2.81-2.87
Se 0.0000 0.3129 0.9768  4 Y 2.82-2.84
Se 0.0000 0.5028 0.5716  5 Y 2.94-2.98
Se 0.0000 0.5899 0.3547  3 Y 2.81-2.87
Se 0.0000 0.6172 0.9520  3 Y 2.79-2.83
Se 0.0000 0.6876 0.1629  3 Y 2.78
Se 0.0000 0.8148 0.5825  3 Y 2.78
Se 0.0000 0.8880 0.7939  3 Y 2.80-2.82
Se 0.0000 0.8950 0.3903  3 Y 2.77-2.84
Se 0.0000 0.9970 0.1754  5 Y 2.92-2.98
Se 0.5000 0.0030 0.6754  5 Y 2.92-2.98
Se 0.5000 0.1050 0.8903  3 Y 2.77-2.84
Se 0.5000 0.1120 0.2939  3 Y 2.80-2.82
Se 0.5000 0.1852 0.0825  3 Y 2.78
Se 0.5000 0.3124 0.6629  3 Y 2.78
Se 0.5000 0.3828 0.4520  3 Y 2.79-2.83
Se 0.5000 0.4101 0.8547  3 Y 2.81-2.87
Se 0.5000 0.4972 0.0716  5 Y 2.94-2.98
Se 0.5000 0.6871 0.4768  4 Y 2.82-2.84
Se 0.5000 0.6869 0.6946  3 Y 2.81-2.87
Se 0.5000 0.8096 0.2686  4 Y 2.81-2.84
Se 0.5000 0.8147 0.0527  3 Y 2.80-2.82

Energy in eV per atom: -27.072
Total magnetization in μB per cell: 0.0
Symmetry: Pmn2_1 (31)
Uncorrected formation energy in kJ/mol of formula units: -4468


Computed, not measured: a PBEsol-optimized structure of LaTc2Ni2 at the meta-GGA SCAN level of DFT.

a = 4.1263 Å, b = 4.1263 Å, c = 9.8880 Å
α = 90.00°, β = 90.00°, γ = 90.00°
Closest atoms and distances in Å follow each position.
Atoms (fractional coordinates):
La 0.0000 0.0000 0.0000  8 Tc 3.13, 8 Ni 3.22
La 0.5000 0.5000 0.5000  8 Tc 3.13, 8 Ni 3.22
Tc 0.0000 0.0000 0.3858  1 Tc 2.26, 4 Ni 2.46
Tc 0.0000 0.0000 0.6142  1 Tc 2.26, 4 Ni 2.46
Tc 0.5000 0.5000 0.1142  1 Tc 2.26, 4 Ni 2.46
Tc 0.5000 0.5000 0.8858  1 Tc 2.26, 4 Ni 2.46
Ni 0.0000 0.5000 0.2500  4 Tc 2.46
Ni 0.0000 0.5000 0.7500  4 Tc 2.46
Ni 0.5000 0.0000 0.2500  4 Tc 2.46
Ni 0.5000 0.0000 0.7500  4 Tc 2.46

ΔH_f (0 K) in eV/atom: 0.140
Energy in eV per atom: -28.975
Total magnetization in μB per cell: 0.0
Symmetry: I4/mmm (139)


Computed, not measured: a PBEsol-optimized structure of Ti3In at the meta-GGA SCAN level of DFT.

a = 4.0141 Å, b = 4.0141 Å, c = 8.6211 Å
α = 90.00°, β = 90.00°, γ = 90.00°
Closest atoms and distances in Å follow each position.
Atoms (fractional coordinates):
Ti 0.0000 0.0000 0.0000  4 In 2.84, 8 Ti 2.95
Ti 0.0000 0.5000 0.2500  8 Ti 2.84-2.95, 4 In 2.95
Ti 0.0000 0.5000 0.7500  8 Ti 2.84-2.95, 4 In 2.95
Ti 0.5000 0.0000 0.2500  8 Ti 2.84-2.95, 4 In 2.95
Ti 0.5000 0.0000 0.7500  8 Ti 2.84-2.95, 4 In 2.95
Ti 0.5000 0.5000 0.5000  4 In 2.84, 8 Ti 2.95
In 0.0000 0.0000 0.5000  12 Ti 2.84-2.95
In 0.5000 0.5000 0.0000  12 Ti 2.84-2.95

ΔH_f (0 K) in eV/atom: -0.212
Energy in eV per atom: -20.581
Total magnetization in μB per cell: 0.0
Symmetry: I4/mmm (139)


Computed, not measured: a PBEsol-optimized structure of Y2Mg at the meta-GGA SCAN level of DFT.

a = 10.1986 Å, b = 5.9937 Å, c = 6.4667 Å
α = 90.00°, β = 121.94°, γ = 90.00°
Closest atoms and distances in Å follow each position.
Atoms (fractional coordinates):
Y 0.1686 0.1003 0.2382  5 Mg 3.28-3.55, 7 Y 3.39-3.52
Y 0.1686 0.8997 0.7382  5 Mg 3.28-3.55, 7 Y 3.39-3.52
Y 0.3314 0.3997 0.7618  5 Mg 3.28-3.55, 7 Y 3.39-3.52
Y 0.3314 0.6003 0.2618  5 Mg 3.28-3.55, 7 Y 3.39-3.52
Y 0.6686 0.3997 0.7382  5 Mg 3.28-3.55, 7 Y 3.39-3.52
Y 0.6686 0.6003 0.2382  5 Mg 3.28-3.55, 7 Y 3.39-3.52
Y 0.8314 0.1003 0.2618  5 Mg 3.28-3.55, 7 Y 3.39-3.52
Y 0.8314 0.8997 0.7618  5 Mg 3.28-3.55, 7 Y 3.39-3.52
Mg 0.0000 0.4145 0.7500  10 Y 3.28-3.55, 2 Mg 3.39
Mg 0.0000 0.5855 0.2500  10 Y 3.28-3.55, 2 Mg 3.39
Mg 0.5000 0.0855 0.2500  10 Y 3.28-3.55, 2 Mg 3.39
Mg 0.5000 0.9145 0.7500  10 Y 3.28-3.55, 2 Mg 3.39

ΔH_f (0 K) in eV/atom: 0.018
Energy in eV per atom: -20.202
Total magnetization in μB per cell: 0.0
Symmetry: C2/c (15)


Computed, not measured: a PBEsol-optimized structure of CrIr2 at the meta-GGA SCAN level of DFT.

a = 2.6854 Å, b = 13.8575 Å, c = 4.2553 Å
α = 90.00°, β = 90.00°, γ = 90.00°
Closest atoms and distances in Å follow each position.
Atoms (fractional coordinates):
Cr 0.0000 0.2221 0.2500  6 Ir 2.55-2.61, 6 Cr 2.63-2.69
Cr 0.0000 0.7779 0.7500  6 Ir 2.55-2.61, 6 Cr 2.63-2.69
Cr 0.5000 0.2779 0.7500  6 Ir 2.55-2.61, 6 Cr 2.63-2.69
Cr 0.5000 0.7221 0.2500  6 Ir 2.55-2.61, 6 Cr 2.63-2.69
Ir 0.0000 0.1204 0.7500  4 Cr 2.55-2.56, 8 Ir 2.65-2.84
Ir 0.0000 0.4396 0.7500  2 Cr 2.61, 10 Ir 2.65-2.84
Ir 0.0000 0.5604 0.2500  2 Cr 2.61, 10 Ir 2.65-2.84
Ir 0.0000 0.8796 0.2500  4 Cr 2.55-2.56, 8 Ir 2.65-2.84
Ir 0.5000 0.0604 0.2500  2 Cr 2.61, 10 Ir 2.65-2.84
Ir 0.5000 0.3796 0.2500  4 Cr 2.55-2.56, 8 Ir 2.65-2.84
Ir 0.5000 0.6204 0.7500  4 Cr 2.55-2.56, 8 Ir 2.65-2.84
Ir 0.5000 0.9396 0.7500  2 Cr 2.61, 10 Ir 2.65-2.84

ΔH_f (0 K) in eV/atom: -0.149
Energy in eV per atom: -53.677
Total magnetization in μB per cell: 0.0
Symmetry: Cmcm (63)


Computed, not measured: a PBEsol-optimized structure of Na2PH at the meta-GGA SCAN level of DFT.

a = 6.5771 Å, b = 6.5771 Å, c = 6.5771 Å
α = 90.00°, β = 90.00°, γ = 90.00°
Closest atoms and distances in Å follow each position.
Atoms (fractional coordinates):
Na 0.2500 0.2500 0.2500  4 H 2.85, 4 P 2.85
Na 0.2500 0.2500 0.7500  4 H 2.85, 4 P 2.85
Na 0.2500 0.7500 0.2500  4 H 2.85, 4 P 2.85
Na 0.2500 0.7500 0.7500  4 H 2.85, 4 P 2.85
Na 0.7500 0.2500 0.2500  4 H 2.85, 4 P 2.85
Na 0.7500 0.2500 0.7500  4 H 2.85, 4 P 2.85
Na 0.7500 0.7500 0.2500  4 H 2.85, 4 P 2.85
Na 0.7500 0.7500 0.7500  4 H 2.85, 4 P 2.85
P 0.0000 0.0000 0.0000  8 Na 2.85
P 0.0000 0.5000 0.5000  8 Na 2.85
P 0.5000 0.0000 0.5000  8 Na 2.85
P 0.5000 0.5000 0.0000  8 Na 2.85
H 0.0000 0.0000 0.5000  8 Na 2.85
H 0.0000 0.5000 0.0000  8 Na 2.85
H 0.5000 0.0000 0.0000  8 Na 2.85
H 0.5000 0.5000 0.5000  8 Na 2.85

Energy in eV per atom: -5.300
Total magnetization in μB per cell: 8.0
Symmetry: Fm-3m (225)


Computed, not measured: a PBEsol-optimized structure of AlReNi2 at the meta-GGA SCAN level of DFT.

a = 3.9800 Å, b = 2.5924 Å, c = 9.4721 Å
α = 90.00°, β = 90.00°, γ = 90.00°
Closest atoms and distances in Å follow each position.
Atoms (fractional coordinates):
Al 0.0000 0.0000 0.0000  7 Ni 2.51-2.58, 2 Al 2.59
Al 0.0000 0.5000 0.5000  7 Ni 2.51-2.58, 2 Al 2.59
Re 0.5000 0.0000 0.6721  7 Ni 2.46-2.62, 2 Re 2.59
Re 0.5000 0.5000 0.1721  7 Ni 2.46-2.62, 2 Re 2.59
Ni 0.0000 0.0000 0.2648  4 Ni 2.43-2.59, 3 Al 2.51-2.58, 4 Re 2.53
Ni 0.0000 0.5000 0.7648  4 Ni 2.43-2.59, 3 Al 2.51-2.58, 4 Re 2.53
Ni 0.5000 0.0000 0.4127  4 Ni 2.43-2.59, 3 Re 2.46-2.62, 4 Al 2.51
Ni 0.5000 0.5000 0.9127  4 Ni 2.43-2.59, 3 Re 2.46-2.62, 4 Al 2.51

ΔH_f (0 K) in eV/atom: -0.249
Energy in eV per atom: -28.048
Total magnetization in μB per cell: 0.0
Symmetry: Amm2 (38)


Computed, not measured: a PBEsol-optimized structure of BeAg2Pb at the meta-GGA SCAN level of DFT.

a = 4.1221 Å, b = 4.1221 Å, c = 8.3098 Å
α = 90.00°, β = 90.00°, γ = 90.00°
Closest atoms and distances in Å follow each position.
Atoms (fractional coordinates):
Be 0.0000 0.0000 0.0000  8 Ag 2.91-2.93, 4 Pb 2.93
Be 0.5000 0.5000 0.5000  8 Ag 2.91-2.93, 4 Pb 2.93
Ag 0.0000 0.0000 0.5000  4 Be 2.91, 4 Pb 2.93, 4 Ag 2.93
Ag 0.0000 0.5000 0.7500  4 Pb 2.91, 4 Be 2.93, 4 Ag 2.93
Ag 0.5000 0.0000 0.2500  4 Pb 2.91, 4 Be 2.93, 4 Ag 2.93
Ag 0.5000 0.5000 0.0000  4 Be 2.91, 4 Pb 2.93, 4 Ag 2.93
Pb 0.0000 0.5000 0.2500  8 Ag 2.91-2.93, 4 Be 2.93
Pb 0.5000 0.0000 0.7500  8 Ag 2.91-2.93, 4 Be 2.93

ΔH_f (0 K) in eV/atom: 0.386
Energy in eV per atom: -35.331
Relative energy among the computed polymorphs in eV/atom: 0.015
Total magnetization in μB per cell: 0.0
Symmetry: I-4m2 (119)


Computed, not measured: a PBEsol-optimized structure of Mn4ZnW at the meta-GGA SCAN level of DFT.

a = 4.6413 Å, b = 4.6413 Å, c = 4.6413 Å
α = 60.00°, β = 60.00°, γ = 60.00°
Closest atoms and distances in Å follow each position.
Atoms (fractional coordinates):
Mn 0.1241 0.1241 0.1241  6 Mn 2.30-2.34
Mn 0.1241 0.1241 0.6277  6 Mn 2.30-2.34
Mn 0.1241 0.6277 0.1241  6 Mn 2.30-2.34
Mn 0.6277 0.1241 0.1241  6 Mn 2.30-2.34
Zn 0.7500 0.7500 0.7500  12 Mn 2.72, 4 W 2.84
W 0.5000 0.5000 0.5000  12 Mn 2.72, 4 Zn 2.84

ΔH_f (0 K) in eV/atom: 0.104
Energy in eV per atom: -25.934
Total magnetization in μB per cell: 3.9
Symmetry: F-43m (216)


Computed, not measured: a PBEsol-optimized structure of ScSbRh2 at the meta-GGA SCAN level of DFT.

a = 3.8748 Å, b = 3.8748 Å, c = 8.6679 Å
α = 90.00°, β = 90.00°, γ = 90.00°
Closest atoms and distances in Å follow each position.
Atoms (fractional coordinates):
Sc 0.0000 0.0000 0.0000  8 Rh 2.74-2.91, 4 Sb 2.91
Sc 0.5000 0.5000 0.5000  8 Rh 2.74-2.91, 4 Sb 2.91
Sb 0.0000 0.5000 0.2500  8 Rh 2.74-2.91, 4 Sc 2.91
Sb 0.5000 0.0000 0.7500  8 Rh 2.74-2.91, 4 Sc 2.91
Rh 0.0000 0.0000 0.5000  4 Sc 2.74, 4 Sb 2.91, 4 Rh 2.91
Rh 0.0000 0.5000 0.7500  4 Sb 2.74, 4 Rh 2.91, 4 Sc 2.91
Rh 0.5000 0.0000 0.2500  4 Sb 2.74, 4 Sc 2.91, 4 Rh 2.91
Rh 0.5000 0.5000 0.0000  4 Sc 2.74, 4 Sb 2.91, 4 Rh 2.91

Energy in eV per atom: -30.578
Total magnetization in μB per cell: 0.0
Symmetry: I-4m2 (119)
Uncorrected formation energy in kJ/mol of formula units: -316


Computed, not measured: a PBEsol-optimized structure of MnTcTeI2 at the meta-GGA SCAN level of DFT.

a = 5.4491 Å, b = 5.4491 Å, c = 5.0426 Å
α = 90.00°, β = 90.00°, γ = 90.00°
Closest atoms and distances in Å follow each position.
Atoms (fractional coordinates):
Mn 0.0000 0.0000 0.0000  8 I 3.71, 4 Te 3.85
Tc 0.5000 0.5000 0.5000  2 Te 2.52, 4 I 2.72
Te 0.5000 0.5000 0.0000  2 Tc 2.52
I 0.0000 0.5000 0.5000  2 Tc 2.72
I 0.5000 0.0000 0.5000  2 Tc 2.72

Energy in eV per atom: -32.277
Total magnetization in μB per cell: 3.3
Symmetry: P4/mmm (123)
Uncorrected formation energy in kJ/mol of formula units: 257